i:
## Dy2YTl (GGA-PBE)

Data for a relaxed structure of Dy2YTl. Values from VASP.

The structure in Quantum ESPRESSO input format:
```
&SYSTEM
  ibrav = 0, nat = 8, ntyp = 3
/
ATOMIC_SPECIES
Tl 204.38 Tl.upf
Y 88.91 Y.upf
Dy 162.50 Dy.upf
CELL_PARAMETERS angstrom
3.675 0.001 0.000
-1.838 6.386 0.000
0.000 0.000 10.244
ATOMIC_POSITIONS crystal
Tl 0.245 0.491 0.250
Tl 0.755 0.509 0.750
Y 0.041 0.081 0.750
Y 0.959 0.919 0.250
Dy 0.630 0.262 0.467
Dy 0.370 0.738 0.967
Dy 0.370 0.738 0.533
Dy 0.630 0.262 0.033
```

Computed properties:
space group	No. 63
size of the total moment	0.187	μB/cell
calculated volume	30.0	Å³ per atom

---

ii:
## Dy2YTl (GGA-PBE)

Data for a relaxed structure of Dy2YTl. Values from VASP.

The structure in Quantum ESPRESSO input format:
```
&SYSTEM
  ibrav = 0, nat = 4, ntyp = 3
/
ATOMIC_SPECIES
Y 88.91 Y.upf
Dy 162.50 Dy.upf
Tl 204.38 Tl.upf
CELL_PARAMETERS angstrom
-3.359 -4.312 0.208
0.182 -3.801 -3.929
1.998 -4.973 1.096
ATOMIC_POSITIONS crystal
Y 0.500 0.500 0.500
Dy 0.250 0.250 0.250
Dy 0.000 0.000 0.000
Tl 0.750 0.750 0.750
```

Computed properties:
space group	No. 216
size of the total moment	1.551	μB/cell
calculated volume	28.9	Å³ per atom

---

Name the most stable of them. i.

---

i:
## Dy2Y3Tl (GGA-PBE)

Data for a relaxed structure of Dy2Y3Tl. Values from VASP.

The structure in Quantum ESPRESSO input format:
```
&SYSTEM
  ibrav = 0, nat = 12, ntyp = 3
/
ATOMIC_SPECIES
Dy 162.50 Dy.upf
Tl 204.38 Tl.upf
Y 88.91 Y.upf
CELL_PARAMETERS angstrom
-1.038 4.938 -2.424
-9.883 -1.576 1.023
0.143 2.910 5.866
ATOMIC_POSITIONS crystal
Dy 0.000 0.699 0.702
Dy 0.500 0.801 0.202
Dy 0.500 0.199 0.798
Dy 0.000 0.301 0.298
Tl 0.000 0.000 0.500
Tl 0.500 0.500 0.000
Y 0.500 0.500 0.500
Y 0.500 0.131 0.301
Y 0.000 0.369 0.801
Y 0.500 0.869 0.699
Y 0.000 0.000 0.000
Y 0.000 0.631 0.199
```

Computed properties:
space group	No. 58
size of the total moment	0.001	μB/cell
calculated volume	30.7	Å³ per atom

---

ii:
## Dy2Y3Tl (GGA-PBE)

Data for a relaxed structure of Dy2Y3Tl. Values from VASP.

The structure in Quantum ESPRESSO input format:
```
&SYSTEM
  ibrav = 0, nat = 6, ntyp = 3
/
ATOMIC_SPECIES
Tl 204.38 Tl.upf
Y 88.91 Y.upf
Dy 162.50 Dy.upf
CELL_PARAMETERS angstrom
-3.743 2.901 -1.106
-0.771 -2.553 -4.086
-4.317 -3.352 5.822
ATOMIC_POSITIONS crystal
Tl 0.000 0.000 0.000
Y 0.500 0.831 0.663
Y 0.500 0.500 0.000
Y 0.500 0.169 0.337
Dy 0.000 0.337 0.675
Dy 0.000 0.663 0.325
```

Computed properties:
space group	No. 65
size of the total moment	0.000	μB/cell
calculated volume	30.1	Å³ per atom

---

Name the most stable of them. ii.